DFT (GGA-PBE) results for AcNdIrPb after structural relaxation.

Properties
- N(E_F): 3.3 states/eV/f.u.
- E: -22.690 eV/cell
- Total moment: 0.00 μB per formula unit
- Space-group type: F-43m, No. 216

a = 5.444 Å, b = 5.444 Å, c = 5.444 Å
α = 60.00°, β = 60.00°, γ = 60.00°
Sites, in units of the cell vectors:
Ac 0.000 0.000 0.000
Nd 0.500 0.500 0.500
Ir 0.250 0.250 0.250
Pb 0.750 0.750 0.750